LiY2SbS | meta-GGA SCAN | single point on PBEsol structure

abc: 5.648 5.648 4.591
angles: 90.00 90.00 90.00
Space group P4/mmm (No. 123)
Symmetry-distinct sites (fractional):
Li  0.000  0.000  0.000 [1 per cell]
Y  0.000  0.500  0.500 [2 per cell]
Sb  0.000  0.000  0.500 [1 per cell]
S  0.500  0.500  0.000 [1 per cell]

Calculated values
* ΔE_f (raw): -0.33 eV/atom
* calculated volume: 146 Å³/cell
* crystal system: tetragonal

***

ScIn2Au | meta-GGA SCAN | single point on PBEsol structure

abc: 4.335 4.335 8.620
angles: 90.00 90.00 90.00
Space group I-4m2 (No. 119)
Symmetry-distinct sites (fractional):
Sc  0.000  0.000  0.000 [2 per cell]
In  0.000  0.000  0.500 [2 per cell]
In  0.000  0.500  0.250 [2 per cell]
Au  0.000  0.500  0.750 [2 per cell]

Calculated values
* calculated volume: 162 Å³/cell
* energy of formation: -0.49 eV per atom
* crystal system: tetragonal

***

Zr2Be2Ni | meta-GGA SCAN | single point on PBEsol structure

abc: 6.178 6.178 3.708
angles: 90.00 90.00 90.00
Space group P4/mbm (No. 127)
Symmetry-distinct sites (fractional):
Zr  0.174  0.326  0.000 [4 per cell]
Be  0.126  0.626  0.500 [4 per cell]
Ni  0.000  0.000  0.500 [2 per cell]

Calculated values
* calculated volume: 142 Å³/cell
* energy of formation: -0.23 eV per atom
* crystal system: tetragonal

***

Br2Cl | meta-GGA SCAN | single point on PBEsol structure

abc: 6.1030 6.1030 2.4966
angles: 90.00 90.00 120.00
Space group P-3m1 (No. 164)
Symmetry-distinct sites (fractional):
Br  0.3333  0.6667  0.0084 [2 per cell]
Cl  0.0000  0.0000  0.5000 [1 per cell]

Calculated values
* distance to the lowest polymorph of the same formula: 113 meV per atom
* ΔE_f (raw): 0.20 eV/atom
* calculated volume: 81 Å³/cell
* crystal system: trigonal

***

P3Pb4O12 | meta-GGA SCAN | single point on PBEsol structure

abc: 10.414 10.414 10.414
angles: 90.00 90.00 90.00
Space group I-43d (No. 220)
Symmetry-distinct sites (fractional):
P  0.000  0.250  0.875 [12 per cell]
Pb  0.073  0.427  0.573 [16 per cell]
O  0.041  0.386  0.203 [48 per cell]

Calculated values
* ΔE_f (raw): -2.01 eV/atom
* calculated volume: 1129 Å³/cell
* crystal system: cubic

***

ZnMoPb | meta-GGA SCAN | single point on PBEsol structure

abc: 3.033 3.726 9.623
angles: 90.00 90.00 90.00
Space group Imm2 (No. 44)
Symmetry-distinct sites (fractional):
Zn  0.000  0.000  0.000 [2 per cell]
Mo  0.000  0.000  0.622 [2 per cell]
Pb  0.000  0.000  0.309 [2 per cell]

Calculated values
* distance to the lowest polymorph of the same formula: 0 meV per atom
* calculated volume: 109 Å³/cell
* energy of formation: 0.59 eV per atom
* crystal system: orthorhombic

***

K2CrRe | meta-GGA SCAN | single point on PBEsol structure

abc: 7.163 7.163 7.163
angles: 90.00 90.00 90.00
Space group F-43m (No. 216)
Symmetry-distinct sites (fractional):
K  0.000  0.000  0.000 [4 per cell]
K  0.250  0.250  0.250 [4 per cell]
Cr  0.250  0.250  0.750 [4 per cell]
Re  0.000  0.000  0.500 [4 per cell]

Calculated values
* calculated volume: 368 Å³/cell
* energy of formation: 1.59 eV per atom
* crystal system: cubic

***

TaBr2F | meta-GGA SCAN | single point on PBEsol structure

abc: 3.3997 3.3997 24.9880
angles: 90.00 90.00 120.00
Space group R-3m (No. 166, hexagonal axes)
Symmetry-distinct sites (fractional):
Ta  0.0000  0.0000  0.0000 [3 per cell]
Br  0.0000  0.0000  0.0941 [6 per cell]
F  0.0000  0.0000  0.5000 [3 per cell]

Calculated values
* distance to the lowest polymorph of the same formula: 1205 meV per atom
* ΔE_f (raw): -0.01 eV/atom
* calculated volume: 250 Å³/cell
* crystal system: trigonal

***

CaPrAl3O7 | meta-GGA SCAN | single point on PBEsol structure

abc: 10.871 11.094 5.113
angles: 90.00 90.00 90.00
Space group Cmm2 (No. 35)
Symmetry-distinct sites (fractional):
Ca  0.158  0.000  0.000 [4 per cell]
Pr  0.000  0.337  0.026 [4 per cell]
Al  0.000  0.141  0.477 [4 per cell]
Al  0.147  0.500  0.557 [4 per cell]
Al  0.250  0.250  0.526 [4 per cell]
O  0.000  0.000  0.328 [2 per cell]
O  0.000  0.143  0.817 [4 per cell]
O  0.000  0.500  0.702 [2 per cell]
O  0.124  0.217  0.324 [8 per cell]
O  0.139  0.500  0.217 [4 per cell]
O  0.212  0.375  0.722 [8 per cell]

Calculated values
* ΔE_f (raw): -3.46 eV/atom
* calculated volume: 617 Å³/cell
* crystal system: orthorhombic

***

SrOs2Pt | meta-GGA SCAN | single point on PBEsol structure

abc: 2.795 2.795 8.781
angles: 90.00 90.00 90.00
Space group P4/mmm (No. 123)
Symmetry-distinct sites (fractional):
Sr  0.000  0.000  0.000 [1 per cell]
Os  0.500  0.500  0.290 [2 per cell]
Pt  0.000  0.000  0.500 [1 per cell]

Calculated values
* distance to the lowest polymorph of the same formula: 5 meV per atom
* calculated volume: 69 Å³/cell
* energy of formation: 0.72 eV per atom
* crystal system: tetragonal

***

TlB2PdS | meta-GGA SCAN | single point on PBEsol structure

abc: 4.072 4.072 5.253
angles: 90.00 90.00 90.00
Space group P4/mmm (No. 123)
Symmetry-distinct sites (fractional):
Tl  0.000  0.000  0.000 [1 per cell]
B  0.000  0.500  0.500 [2 per cell]
Pd  0.500  0.500  0.500 [1 per cell]
S  0.500  0.500  0.000 [1 per cell]

Calculated values
* ΔE_f (raw): 0.83 eV/atom
* calculated volume: 87 Å³/cell
* crystal system: tetragonal

***

TcP2Pd | meta-GGA SCAN | single point on PBEsol structure

abc: 5.269 5.269 10.485
angles: 90.00 90.00 90.00
Space group I-42d (No. 122)
Symmetry-distinct sites (fractional):
Tc  0.000  0.000  0.000 [4 per cell]
P  0.239  0.250  0.125 [8 per cell]
Pd  0.000  0.000  0.500 [4 per cell]

Calculated values
* calculated volume: 291 Å³/cell
* energy of formation: -0.20 eV per atom
* crystal system: tetragonal

***

ScMnP2O | meta-GGA SCAN | single point on PBEsol structure

abc: 5.003 5.003 3.799
angles: 90.00 90.00 90.00
Space group P4/mmm (No. 123)
Symmetry-distinct sites (fractional):
Sc  0.000  0.000  0.000 [1 per cell]
Mn  0.500  0.500  0.500 [1 per cell]
P  0.000  0.500  0.000 [2 per cell]
O  0.000  0.000  0.500 [1 per cell]

Calculated values
* ΔE_f (raw): -0.38 eV/atom
* calculated volume: 95 Å³/cell
* crystal system: tetragonal